[1]
# TcPtS3 SCAN PBEsol geometry
# **DOS at the Fermi energy**: 0.69 states/eV per atom
# **E_form (uncorrected)**: 0.85 eV per atom
# **Magnetic moment**: 3.8 μB per cell
data_TcPtS3
_symmetry_space_group_name_H-M 'P m -3 m'
_symmetry_Int_Tables_number 221
_symmetry_space_group_name_Hall '-P 4 2 3'
_cell_length_a 4.623
_cell_length_b 4.623
_cell_length_c 4.623
_cell_angle_alpha 90.00
_cell_angle_beta 90.00
_cell_angle_gamma 90.00
loop_
_atom_site_label
_atom_site_type_symbol
_atom_site_fract_x
_atom_site_fract_y
_atom_site_fract_z
Tc1 Tc 0.000 0.000 0.000
Pt1 Pt 0.500 0.500 0.500
S1 S 0.000 0.500 0.500


[2]
# CaTbPd2 SCAN PBEsol geometry
# **Energy of formation**: -3.3 eV/f.u.
# **DOS at the Fermi energy**: 0.47 states/eV per atom
# **Magnetic moment**: 0.0 μB per cell
data_CaTbPd2
_symmetry_space_group_name_H-M 'F m -3 m'
_symmetry_Int_Tables_number 225
_symmetry_space_group_name_Hall '-F 4 2 3'
_cell_length_a 6.905
_cell_length_b 6.905
_cell_length_c 6.905
_cell_angle_alpha 90.00
_cell_angle_beta 90.00
_cell_angle_gamma 90.00
loop_
_atom_site_label
_atom_site_type_symbol
_atom_site_fract_x
_atom_site_fract_y
_atom_site_fract_z
Ca1 Ca 0.000 0.000 0.000
Tb1 Tb 0.000 0.000 0.500
Pd1 Pd 0.250 0.250 0.250


[3]
# NdGe2Pd2 SCAN PBEsol geometry
# **Energy of formation**: -4.7 eV/f.u.
# **DOS at the Fermi energy**: 0.50 states/eV per atom
# **Magnetic moment**: 0.0 μB per cell
data_NdGe2Pd2
_symmetry_space_group_name_H-M 'I 4/m m m'
_symmetry_Int_Tables_number 139
_symmetry_space_group_name_Hall '-I 4 2'
_cell_length_a 4.271
_cell_length_b 4.271
_cell_length_c 10.076
_cell_angle_alpha 90.00
_cell_angle_beta 90.00
_cell_angle_gamma 90.00
loop_
_atom_site_label
_atom_site_type_symbol
_atom_site_fract_x
_atom_site_fract_y
_atom_site_fract_z
Nd1 Nd 0.000 0.000 0.000
Ge1 Ge 0.000 0.000 0.378
Pd1 Pd 0.000 0.500 0.250


[4]
# HgP2O6 SCAN PBEsol geometry
# **DOS at the Fermi energy**: 0.00 states/eV per atom
# **E_form (uncorrected)**: -1.93 eV per atom
# **Magnetic moment**: 0.0 μB per cell
data_HgP2O6
_symmetry_space_group_name_H-M 'P b c a'
_symmetry_Int_Tables_number 61
_cell_length_a 7.166
_cell_length_b 9.834
_cell_length_c 13.804
_cell_angle_alpha 90.00
_cell_angle_beta 90.00
_cell_angle_gamma 90.00
loop_
_symmetry_equiv_pos_as_xyz
'x,y,z'
'-x,-y,-z'
'-x+1/2,-y,z+1/2'
'x+1/2,y,-z+1/2'
'x+1/2,-y+1/2,-z'
'-x+1/2,y+1/2,z'
'-x,y+1/2,-z+1/2'
'x,-y+1/2,z+1/2'
loop_
_atom_site_label
_atom_site_type_symbol
_atom_site_fract_x
_atom_site_fract_y
_atom_site_fract_z
Hg1 Hg 0.042 0.006 0.206
P1 P 0.079 0.702 0.099
P2 P 0.181 0.713 0.896
O1 O 0.014 0.701 0.378
O2 O 0.137 0.604 0.177
O3 O 0.137 0.651 0.603
O4 O 0.143 0.188 0.412
O5 O 0.156 0.638 0.000
O6 O 0.233 0.603 0.825


[5]
# KScRh SCAN PBEsol geometry
# **Energy of formation**: 1.1 eV/f.u.
# **DOS at the Fermi energy**: 0.26 states/eV per atom
# **Magnetic moment**: 0.0 μB per cell
data_KScRh
_symmetry_space_group_name_H-M 'P 3 m 1'
_symmetry_Int_Tables_number 156
_cell_length_a 4.6795
_cell_length_b 4.6795
_cell_length_c 3.3087
_cell_angle_alpha 90.00
_cell_angle_beta 90.00
_cell_angle_gamma 120.00
loop_
_symmetry_equiv_pos_as_xyz
'x,y,z'
'-y,x-y,z'
'-x+y,-x,z'
'-y,-x,z'
'-x+y,y,z'
'x,x-y,z'
loop_
_atom_site_label
_atom_site_type_symbol
_atom_site_fract_x
_atom_site_fract_y
_atom_site_fract_z
K1 K 0.0000 0.0000 0.0000
Sc1 Sc 0.6667 0.3333 0.5832
Rh1 Rh 0.3333 0.6667 0.3855


[6]
# Mn2GaCo4Ge SCAN PBEsol geometry
# **Energy of formation**: -2.8 eV/f.u.
# **DOS at the Fermi energy**: 0.46 states/eV per atom
# **Magnetic moment**: 27.7 μB per cell
data_Mn2GaCo4Ge
_symmetry_space_group_name_H-M 'R -3 m'
_symmetry_Int_Tables_number 166
_symmetry_space_group_name_Hall '-R 3 2"'
_cell_length_a 3.9840
_cell_length_b 3.9840
_cell_length_c 19.5187
_cell_angle_alpha 90.00
_cell_angle_beta 90.00
_cell_angle_gamma 120.00
loop_
_atom_site_label
_atom_site_type_symbol
_atom_site_fract_x
_atom_site_fract_y
_atom_site_fract_z
Mn1 Mn 0.0000 0.0000 0.2486
Ga1 Ga 0.0000 0.0000 0.5000
Co1 Co 0.0000 0.0000 0.1237
Co2 Co 0.0000 0.0000 0.3738
Ge1 Ge 0.0000 0.0000 0.0000


[7]
# LiPb3W SCAN PBEsol geometry
# **Energy of formation**: 5.9 eV/f.u.
# **DOS at the Fermi energy**: 0.55 states/eV per atom
# **Magnetic moment**: 4.1 μB per cell
data_LiPb3W
_symmetry_space_group_name_H-M 'P m -3 m'
_symmetry_Int_Tables_number 221
_symmetry_space_group_name_Hall '-P 4 2 3'
_cell_length_a 4.968
_cell_length_b 4.968
_cell_length_c 4.968
_cell_angle_alpha 90.00
_cell_angle_beta 90.00
_cell_angle_gamma 90.00
loop_
_atom_site_label
_atom_site_type_symbol
_atom_site_fract_x
_atom_site_fract_y
_atom_site_fract_z
Li1 Li 0.000 0.000 0.000
Pb1 Pb 0.000 0.000 0.500
W1 W 0.500 0.500 0.500


[8]
# TaHg2Cl SCAN PBEsol geometry
# **DOS at the Fermi energy**: 0.22 states/eV per atom
# **E_form (uncorrected)**: 0.68 eV per atom
# **Magnetic moment**: 0.0 μB per cell
data_TaHg2Cl
_symmetry_space_group_name_H-M 'F -4 3 m'
_symmetry_Int_Tables_number 216
_symmetry_space_group_name_Hall 'F -4 2 3'
_cell_length_a 6.711
_cell_length_b 6.711
_cell_length_c 6.711
_cell_angle_alpha 90.00
_cell_angle_beta 90.00
_cell_angle_gamma 90.00
loop_
_atom_site_label
_atom_site_type_symbol
_atom_site_fract_x
_atom_site_fract_y
_atom_site_fract_z
Ta1 Ta 0.000 0.000 0.000
Hg1 Hg 0.000 0.000 0.500
Hg2 Hg 0.250 0.250 0.750
Cl1 Cl 0.250 0.250 0.250


[9]
# AgSnOs3 SCAN PBEsol geometry
# **Energy of formation**: 14.1 eV/f.u.
# **DOS at the Fermi energy**: 0.98 states/eV per atom
# **Magnetic moment**: 2.1 μB per cell
data_AgSnOs3
_symmetry_space_group_name_H-M 'P m -3 m'
_symmetry_Int_Tables_number 221
_symmetry_space_group_name_Hall '-P 4 2 3'
_cell_length_a 4.779
_cell_length_b 4.779
_cell_length_c 4.779
_cell_angle_alpha 90.00
_cell_angle_beta 90.00
_cell_angle_gamma 90.00
loop_
_atom_site_label
_atom_site_type_symbol
_atom_site_fract_x
_atom_site_fract_y
_atom_site_fract_z
Ag1 Ag 0.000 0.000 0.000
Sn1 Sn 0.500 0.500 0.500
Os1 Os 0.000 0.500 0.500


[10]
# LiTaIn SCAN PBEsol geometry
# **Energy of formation**: 2.4 eV/f.u.
# **DOS at the Fermi energy**: 0.67 states/eV per atom
# **Magnetic moment**: 0.0 μB per cell
data_LiTaIn
_symmetry_space_group_name_H-M 'F -4 3 m'
_symmetry_Int_Tables_number 216
_symmetry_space_group_name_Hall 'F -4 2 3'
_cell_length_a 5.983
_cell_length_b 5.983
_cell_length_c 5.983
_cell_angle_alpha 90.00
_cell_angle_beta 90.00
_cell_angle_gamma 90.00
loop_
_atom_site_label
_atom_site_type_symbol
_atom_site_fract_x
_atom_site_fract_y
_atom_site_fract_z
Li1 Li 0.000 0.000 0.000
Ta1 Ta 0.250 0.250 0.250
In1 In 0.250 0.250 0.750


[11]
# LiLaY2 SCAN PBEsol geometry
# **Energy of formation**: 0.6 eV/f.u.
# **DOS at the Fermi energy**: 1.19 states/eV per atom
# **Magnetic moment**: 0.0 μB per cell
data_LiLaY2
_symmetry_space_group_name_H-M 'P 1 m 1'
_symmetry_Int_Tables_number 6
_cell_length_a 3.489
_cell_length_b 5.316
_cell_length_c 6.613
_cell_angle_alpha 90.00
_cell_angle_beta 105.32
_cell_angle_gamma 90.00
loop_
_symmetry_equiv_pos_as_xyz
'x,y,z'
'x,-y,z'
loop_
_atom_site_label
_atom_site_type_symbol
_atom_site_fract_x
_atom_site_fract_y
_atom_site_fract_z
Li1 Li 0.000 0.000 0.000
La1 La 0.400 0.500 0.780
Y1 Y 0.145 0.500 0.254
Y2 Y 0.751 0.000 0.472


[12]
# In2Si2O7 SCAN PBEsol geometry
# **DOS at the Fermi energy**: 0.00 states/eV per atom
# **E_form (uncorrected)**: -2.50 eV per atom
# **Magnetic moment**: 0.0 μB per cell
data_In2Si2O7
_symmetry_space_group_name_H-M 'C 1 2/m 1'
_symmetry_Int_Tables_number 12
_cell_length_a 6.624
_cell_length_b 8.670
_cell_length_c 4.730
_cell_angle_alpha 90.00
_cell_angle_beta 102.61
_cell_angle_gamma 90.00
loop_
_symmetry_equiv_pos_as_xyz
'x,y,z'
'-x,-y,-z'
'-x,y,-z'
'x,-y,z'
'x+1/2,y+1/2,z'
'-x+1/2,-y+1/2,-z'
'-x+1/2,y+1/2,-z'
'x+1/2,-y+1/2,z'
loop_
_atom_site_label
_atom_site_type_symbol
_atom_site_fract_x
_atom_site_fract_y
_atom_site_fract_z
In1 In 0.000 0.192 0.000
Si1 Si 0.222 0.500 0.409
O1 O 0.000 0.500 0.500
O2 O 0.107 0.000 0.283
O3 O 0.236 0.343 0.218


[13]
# TeIrO3 SCAN PBEsol geometry
# **DOS at the Fermi energy**: 0.66 states/eV per atom
# **E_form (uncorrected)**: 0.49 eV per atom
# **Magnetic moment**: 2.6 μB per cell
data_TeIrO3
_symmetry_space_group_name_H-M 'P m -3 m'
_symmetry_Int_Tables_number 221
_symmetry_space_group_name_Hall '-P 4 2 3'
_cell_length_a 4.069
_cell_length_b 4.069
_cell_length_c 4.069
_cell_angle_alpha 90.00
_cell_angle_beta 90.00
_cell_angle_gamma 90.00
loop_
_atom_site_label
_atom_site_type_symbol
_atom_site_fract_x
_atom_site_fract_y
_atom_site_fract_z
Te1 Te 0.000 0.000 0.000
Ir1 Ir 0.500 0.500 0.500
O1 O 0.000 0.000 0.500


[14]
# KZrPb2 SCAN PBEsol geometry
# **Energy of formation**: 0.6 eV/f.u.
# **DOS at the Fermi energy**: 1.04 states/eV per atom
# **Magnetic moment**: 0.0 μB per cell
data_KZrPb2
_symmetry_space_group_name_H-M 'I -4 m 2'
_symmetry_Int_Tables_number 119
_symmetry_space_group_name_Hall 'I -4 -2'
_cell_length_a 4.464
_cell_length_b 4.464
_cell_length_c 10.799
_cell_angle_alpha 90.00
_cell_angle_beta 90.00
_cell_angle_gamma 90.00
loop_
_atom_site_label
_atom_site_type_symbol
_atom_site_fract_x
_atom_site_fract_y
_atom_site_fract_z
K1 K 0.000 0.000 0.000
Zr1 Zr 0.000 0.500 0.750
Pb1 Pb 0.000 0.000 0.500
Pb2 Pb 0.000 0.500 0.250


[15]
# KZnCo SCAN PBEsol geometry
# **Energy of formation**: 4.5 eV/f.u.
# **DOS at the Fermi energy**: 1.70 states/eV per atom
# **Magnetic moment**: 9.1 μB per cell
data_KZnCo
_symmetry_space_group_name_H-M 'F -4 3 m'
_symmetry_Int_Tables_number 216
_symmetry_space_group_name_Hall 'F -4 2 3'
_cell_length_a 7.088
_cell_length_b 7.088
_cell_length_c 7.088
_cell_angle_alpha 90.00
_cell_angle_beta 90.00
_cell_angle_gamma 90.00
loop_
_atom_site_label
_atom_site_type_symbol
_atom_site_fract_x
_atom_site_fract_y
_atom_site_fract_z
K1 K 0.000 0.000 0.000
Zn1 Zn 0.250 0.250 0.750
Co1 Co 0.250 0.250 0.250


[16]
# Cr2RuBr SCAN PBEsol geometry
# **DOS at the Fermi energy**: 0.91 states/eV per atom
# **E_form (uncorrected)**: 0.87 eV per atom
# **Magnetic moment**: 5.8 μB per cell
data_Cr2RuBr
_symmetry_space_group_name_H-M 'F -4 3 m'
_symmetry_Int_Tables_number 216
_symmetry_space_group_name_Hall 'F -4 2 3'
_cell_length_a 6.000
_cell_length_b 6.000
_cell_length_c 6.000
_cell_angle_alpha 90.00
_cell_angle_beta 90.00
_cell_angle_gamma 90.00
loop_
_atom_site_label
_atom_site_type_symbol
_atom_site_fract_x
_atom_site_fract_y
_atom_site_fract_z
Cr1 Cr 0.000 0.000 0.000
Cr2 Cr 0.250 0.250 0.250
Ru1 Ru 0.250 0.250 0.750
Br1 Br 0.000 0.000 0.500


[17]
# Sc2Tc SCAN PBEsol geometry
# **Energy of formation**: -0.6 eV/f.u.
# **DOS at the Fermi energy**: 0.91 states/eV per atom
# **Magnetic moment**: 0.0 μB per cell
data_Sc2Tc
_symmetry_space_group_name_H-M 'I 4/m c m'
_symmetry_Int_Tables_number 140
_symmetry_space_group_name_Hall '-I 4 2c'
_cell_length_a 6.594
_cell_length_b 6.594
_cell_length_c 5.406
_cell_angle_alpha 90.00
_cell_angle_beta 90.00
_cell_angle_gamma 90.00
loop_
_atom_site_label
_atom_site_type_symbol
_atom_site_fract_x
_atom_site_fract_y
_atom_site_fract_z
Sc1 Sc 0.170 0.330 0.000
Tc1 Tc 0.000 0.000 0.250


[18]
# Te2IrPt SCAN PBEsol geometry
# **DOS at the Fermi energy**: 0.70 states/eV per atom
# **E_form (uncorrected)**: -0.07 eV per atom
# **Magnetic moment**: 0.0 μB per cell
data_Te2IrPt
_symmetry_space_group_name_H-M 'C 1 2/m 1'
_symmetry_Int_Tables_number 12
_cell_length_a 6.615
_cell_length_b 3.812
_cell_length_c 6.808
_cell_angle_alpha 90.00
_cell_angle_beta 108.72
_cell_angle_gamma 90.00
loop_
_symmetry_equiv_pos_as_xyz
'x,y,z'
'-x,-y,-z'
'-x,y,-z'
'x,-y,z'
'x+1/2,y+1/2,z'
'-x+1/2,-y+1/2,-z'
'-x+1/2,y+1/2,-z'
'x+1/2,-y+1/2,z'
loop_
_atom_site_label
_atom_site_type_symbol
_atom_site_fract_x
_atom_site_fract_y
_atom_site_fract_z
Te1 Te 0.246 0.000 0.240
Ir1 Ir 0.000 0.500 0.000
Pt1 Pt 0.000 0.000 0.500


[19]
# Li4Os SCAN PBEsol geometry
# **Energy of formation**: 3.7 eV/f.u.
# **DOS at the Fermi energy**: 0.55 states/eV per atom
# **Magnetic moment**: 2.1 μB per cell
data_Li4Os
_symmetry_space_group_name_H-M 'I m -3 m'
_symmetry_Int_Tables_number 229
_symmetry_space_group_name_Hall '-I 4 2 3'
_cell_length_a 5.787
_cell_length_b 5.787
_cell_length_c 5.787
_cell_angle_alpha 90.00
_cell_angle_beta 90.00
_cell_angle_gamma 90.00
loop_
_atom_site_label
_atom_site_type_symbol
_atom_site_fract_x
_atom_site_fract_y
_atom_site_fract_z
Li1 Li 0.250 0.250 0.250
Os1 Os 0.000 0.000 0.000


[20]
# SrIr3Os SCAN PBEsol geometry
# **Energy of formation**: 18.8 eV/f.u.
# **DOS at the Fermi energy**: 1.10 states/eV per atom
# **Magnetic moment**: 3.2 μB per cell
data_SrIr3Os
_symmetry_space_group_name_H-M 'P m -3 m'
_symmetry_Int_Tables_number 221
_symmetry_space_group_name_Hall '-P 4 2 3'
_cell_length_a 4.715
_cell_length_b 4.715
_cell_length_c 4.715
_cell_angle_alpha 90.00
_cell_angle_beta 90.00
_cell_angle_gamma 90.00
loop_
_atom_site_label
_atom_site_type_symbol
_atom_site_fract_x
_atom_site_fract_y
_atom_site_fract_z
Sr1 Sr 0.000 0.000 0.000
Ir1 Ir 0.000 0.000 0.500
Os1 Os 0.500 0.500 0.500